Entry 1:
## CaOsSe (PBEsol)

Data for a geometry-optimized CaOsSe structure.

abc: 6.136 6.136 6.136
angles: 150.47 150.47 42.25
Fractional positions:
Ca 0.000 0.000 0.000
Os 0.687 0.687 0.000
Se 0.297 0.297 0.000

Output
Magnetization   0.0 μB/cell

***

Entry 2:
## CaOsSe (PBEsol)

Data for a geometry-optimized CaOsSe structure.

abc: 4.118 4.118 4.255
angles: 90.00 90.00 120.00
Fractional positions:
Ca 0.000 0.000 0.000
Os 0.333 0.667 0.500
Se 0.667 0.333 0.500

Output
Magnetization   0.0 μB/cell

***

Entry 3:
## Ca2OsSe (PBEsol)

Data for a geometry-optimized Ca2OsSe structure.

abc: 3.570 3.570 8.350
angles: 101.62 101.62 58.39
Fractional positions:
Ca 0.247 0.247 0.241
Ca 0.753 0.753 0.759
Os 0.000 0.000 0.500
Se 0.500 0.500 0.000

Output
Magnetization   0.0 μB/cell

***

Entry 4:
## Ca2OsSe (PBEsol)

Data for a geometry-optimized Ca2OsSe structure.

abc: 5.043 5.043 5.043
angles: 126.20 126.20 79.57
Fractional positions:
Ca 0.250 0.750 0.500
Ca 0.750 0.250 0.500
Os 0.000 0.000 0.000
Se 0.500 0.500 0.000

Output
Magnetization   0.0 μB/cell

***

| no. | calculated total energy (eV for the cell shown) | formation energy from raw total energies (eV per atom) |
| --- | --- | --- |
| 1 | -18.287 | -0.03 |
| 2 | -18.668 | -0.16 |
| 3 | -20.769 | -0.11 |
| 4 | -20.606 | -0.07 |